Compound: SnI5Br2
Source: the Alexandria database
Functional: PBE
Structure: relaxed

Structure (POSCAR):
```
SnI5Br2
1.0
4.441 -4.672 0.000
4.441 4.672 0.000
-2.861 0.000 8.862
Sn I Br
1 5 2
Direct
0.000 0.000 0.000
0.068 0.698 0.228
0.186 0.186 0.737
0.396 0.396 0.221
0.679 0.679 0.749
0.698 0.068 0.228
0.185 0.687 0.750
0.687 0.185 0.750
```

The formation energy from raw total energies comes out at -0.496 eV/f.u. The density of states at the Fermi level comes out at 0.45 states/eV per atom. Its space group is No. 8. The calculation puts the spin magnetization at 0.00 Bohr magnetons per cell.


Compound: Sn6IBr12
Source: the Alexandria database
Functional: PBE
Structure: relaxed

Structure (POSCAR):
```
Sn6IBr12
1.0
8.046 4.646 5.195
-8.046 4.646 5.195
0.000 -9.291 5.195
Sn I Br
6 1 12
Direct
0.165 0.432 0.432
0.432 0.165 0.432
0.432 0.432 0.165
0.568 0.568 0.835
0.568 0.835 0.568
0.835 0.568 0.568
0.500 0.500 0.500
0.000 0.385 0.615
0.000 0.615 0.385
0.161 0.161 0.409
0.161 0.409 0.161
0.385 0.000 0.615
0.385 0.615 0.000
0.409 0.161 0.161
0.591 0.839 0.839
0.615 0.000 0.385
0.615 0.385 0.000
0.839 0.591 0.839
0.839 0.839 0.591
```

The formation energy from raw total energies comes out at -11.142 eV/f.u. The density of states at the Fermi level comes out at 0.90 states/eV per atom. Its space group is No. 166. The calculation puts the spin magnetization at 0.00 Bohr magnetons per cell.


Compound: Sn2IBr
Source: the Alexandria database
Functional: PBE
Structure: relaxed

Structure (POSCAR):
```
Sn2IBr
1.0
0.000 3.926 3.926
3.926 0.000 3.926
3.926 3.926 0.000
Sn I Br
2 1 1
Direct
0.250 0.250 0.250
0.750 0.750 0.750
0.000 0.000 0.000
0.500 0.500 0.500
```

The formation energy from raw total energies comes out at -0.089 eV/f.u. The density of states at the Fermi level comes out at 1.05 states/eV per atom. Its space group is No. 225. For the energy above the most stable polymorph in this dataset, the calculation gives 0.0953 eV per atom. The calculation puts the spin magnetization at 0.00 Bohr magnetons per cell.


The evaluated energy for the records listed, in turn: -1.949; -2.989; -2.830 eV/atom.